LaBeZn2Rh2 | PBE-GGA | relaxed

energy relative to the elements: -0.482 eV per atom

Unit cell a=4.2945 b=4.2945 c=5.6507 alpha=90.00 beta=90.00 gamma=90.00
Last column: nearest neighbours and their distance in Å.
Space group P4/mmm (No. 123)
Unique sites:
La  0.0000  0.0000  0.0000  2 Be 2.83
Be  0.0000  0.0000  0.5000  4 Rh 2.15
Zn  0.5000  0.5000  0.2360  4 Rh 2.61, 1 Zn 2.67
Rh  0.0000  0.5000  0.5000  2 Be 2.15

***

Ba2NpReO6 | PBE-GGA | relaxed

raw formation energy: -24.81 eV/f.u.

Unit cell a=8.4738 b=8.4738 c=8.4738 alpha=90.00 beta=90.00 gamma=90.00
Last column: nearest neighbours and their distance in Å.
Space group Fm-3m (No. 225)
Unique sites:
Ba  0.2500  0.2500  0.2500  12 O 3.00
Np  0.0000  0.0000  0.0000  6 O 2.19
Re  0.0000  0.0000  0.5000  6 O 2.05
O  0.0000  0.0000  0.2582  1 Re 2.05, 1 Np 2.19

***

TiSiTc2H | PBE-GGA | relaxed

VASP energy: -7.83 eV/atom

Unit cell a=4.1047 b=4.1047 c=3.4835 alpha=90.00 beta=90.00 gamma=90.00
Last column: nearest neighbours and their distance in Å.
Space group P4/mmm (No. 123)
Unique sites:
Ti  0.0000  0.0000  0.0000  2 H 1.74
Si  0.5000  0.5000  0.0000  8 Tc 2.69, 4 Ti 2.90
Tc  0.0000  0.5000  0.5000  2 H 2.05
H  0.0000  0.0000  0.5000  2 Ti 1.74